Here is a relaxed structure of CaCu3Br from the Alexandria database. Energies are from PBE.

As for the raw formation energy: 1140 meV/atom. The calculation puts the magnetic moment at 0.000 μB/cell. The value obtained for the energy relative to the lowest polymorph listed for this composition is 0.510 eV per atom. As for the volume: 29.3 Å³ per atom. For the total energy, the calculation gives -2.0529 eV/atom.

```
data_CaCu3Br
_symmetry_space_group_name_H-M 'P m -3 m'
_symmetry_Int_Tables_number 221
_symmetry_space_group_name_Hall '-P 4 2 3'
_cell_length_a 5.274
_cell_length_b 5.274
_cell_length_c 5.274
_cell_angle_alpha 90.00
_cell_angle_beta 90.00
_cell_angle_gamma 90.00
loop_
_atom_site_label
_atom_site_type_symbol
_atom_site_fract_x
_atom_site_fract_y
_atom_site_fract_z
Ca1 Ca 0.000 0.000 0.000
Cu1 Cu 0.000 0.000 0.500
Br1 Br 0.500 0.500 0.500
```